[1]
First-principles (GGA-PBE) data for a relaxed structure of Pr2PbO2, as listed in Alexandria.

```
data_Pr2PbO2
_cell_length_a 7.902
_cell_length_b 7.902
_cell_length_c 7.902
_cell_angle_alpha 150.49
_cell_angle_beta 150.49
_cell_angle_gamma 42.23
_space_group_name_H-M_alt 'P 1'
_space_group_IT_number 1
loop_
_space_group_symop_operation_xyz
'x,y,z'
loop_
_atom_site_label
_atom_site_fract_x
_atom_site_fract_y
_atom_site_fract_z
Pr1 0.168 0.168 0.000
Pr2 0.832 0.832 0.000
Pb1 0.500 0.500 0.000
O1 0.250 0.750 0.500
O2 0.750 0.250 0.500
```

Magnetic moment ... 0.000 μB per formula unit
Formation energy (no corrections) ... -2398 meV/atom

=====

[2]
First-principles (GGA-PBE) data for a relaxed structure of Pr2EuCd, as listed in Alexandria.

```
data_Pr2EuCd
_cell_length_a 3.879
_cell_length_b 3.879
_cell_length_c 9.013
_cell_angle_alpha 90.00
_cell_angle_beta 90.00
_cell_angle_gamma 90.00
_space_group_name_H-M_alt 'P 1'
_space_group_IT_number 1
loop_
_space_group_symop_operation_xyz
'x,y,z'
loop_
_atom_site_label
_atom_site_fract_x
_atom_site_fract_y
_atom_site_fract_z
Pr1 0.000 0.000 0.211
Pr2 0.000 0.000 0.789
Eu1 0.500 0.500 0.500
Cd1 0.500 0.500 0.000
```

Magnetic moment ... 7.736 μB per formula unit
Energy relative to the lowest polymorph listed for this composition ... 0.0 meV/atom
Calculated formation energy ... -0.47 eV per formula unit

=====

[3]
First-principles (GGA-PBE) data for a relaxed structure of Ba2In5Hg4, as listed in Alexandria.

```
data_Ba2In5Hg4
_cell_length_a 7.914
_cell_length_b 7.914
_cell_length_c 7.914
_cell_angle_alpha 132.04
_cell_angle_beta 101.01
_cell_angle_gamma 98.01
_space_group_name_H-M_alt 'P 1'
_space_group_IT_number 1
loop_
_space_group_symop_operation_xyz
'x,y,z'
loop_
_atom_site_label
_atom_site_fract_x
_atom_site_fract_y
_atom_site_fract_z
Ba1 0.229 0.000 0.229
Ba2 0.771 0.000 0.771
In1 0.000 0.500 0.500
In2 0.264 0.000 0.737
In3 0.264 0.527 0.263
In4 0.736 0.000 0.263
In5 0.736 0.473 0.737
Hg1 0.123 0.351 0.772
Hg2 0.421 0.649 0.772
Hg3 0.579 0.351 0.228
Hg4 0.877 0.649 0.228
```

Magnetic moment ... 0.000 μB per formula unit
Energy relative to the lowest polymorph listed for this composition ... 0.0 meV/atom
Calculated formation energy ... -3.15 eV per formula unit

=====

[4]
First-principles (GGA-PBE) data for a relaxed structure of Te2AsW, as listed in Alexandria.

```
data_Te2AsW
_cell_length_a 7.086
_cell_length_b 7.086
_cell_length_c 7.086
_cell_angle_alpha 152.98
_cell_angle_beta 140.07
_cell_angle_gamma 48.88
_space_group_name_H-M_alt 'P 1'
_space_group_IT_number 1
loop_
_space_group_symop_operation_xyz
'x,y,z'
loop_
_atom_site_label
_atom_site_fract_x
_atom_site_fract_y
_atom_site_fract_z
Te1 0.000 0.000 0.000
Te2 0.710 0.210 0.500
As1 0.381 0.881 0.500
W1 0.540 0.540 0.000
```

Magnetic moment ... 0.000 μB per formula unit
Formation energy (no corrections) ... 423 meV/atom

=====

[5]
First-principles (GGA-PBE) data for a relaxed structure of Zr2In2Ag, as listed in Alexandria.

```
data_Zr2In2Ag
_cell_length_a 7.884
_cell_length_b 7.884
_cell_length_c 7.884
_cell_angle_alpha 150.20
_cell_angle_beta 150.20
_cell_angle_gamma 42.65
_space_group_name_H-M_alt 'P 1'
_space_group_IT_number 1
loop_
_space_group_symop_operation_xyz
'x,y,z'
loop_
_atom_site_label
_atom_site_fract_x
_atom_site_fract_y
_atom_site_fract_z
Zr1 0.090 0.090 0.000
Zr2 0.910 0.910 0.000
In1 0.250 0.750 0.500
In2 0.750 0.250 0.500
Ag1 0.500 0.500 0.000
```

Magnetic moment ... 0.000 μB per formula unit
Energy relative to the lowest polymorph listed for this composition ... 470.3 meV/atom
Calculated formation energy ... 1.57 eV per formula unit

=====

[6]
First-principles (GGA-PBE) data for a relaxed structure of Rb2ZrI2Cl4, as listed in Alexandria.

```
data_Rb2ZrI2Cl4
_cell_length_a 7.818
_cell_length_b 7.818
_cell_length_c 7.818
_cell_angle_alpha 120.50
_cell_angle_beta 120.50
_cell_angle_gamma 89.13
_space_group_name_H-M_alt 'P 1'
_space_group_IT_number 1
loop_
_space_group_symop_operation_xyz
'x,y,z'
loop_
_atom_site_label
_atom_site_fract_x
_atom_site_fract_y
_atom_site_fract_z
Rb1 0.250 0.750 0.500
Rb2 0.750 0.250 0.500
Zr1 0.000 0.000 0.000
I1 0.262 0.262 0.000
I2 0.738 0.738 0.000
Cl1 0.226 0.226 0.452
Cl2 0.226 0.774 0.000
Cl3 0.774 0.226 0.000
Cl4 0.774 0.774 0.548
```

Magnetic moment ... 0.000 μB per formula unit
Formation energy (no corrections) ... -1688 meV/atom

=====

[7]
First-principles (GGA-PBE) data for a relaxed structure of Tb4Pm4Cd, as listed in Alexandria.

```
data_Tb4Pm4Cd
_cell_length_a 7.950
_cell_length_b 7.950
_cell_length_c 7.950
_cell_angle_alpha 95.74
_cell_angle_beta 95.74
_cell_angle_gamma 143.12
_space_group_name_H-M_alt 'P 1'
_space_group_IT_number 1
loop_
_space_group_symop_operation_xyz
'x,y,z'
loop_
_atom_site_label
_atom_site_fract_x
_atom_site_fract_y
_atom_site_fract_z
Tb1 0.163 0.163 0.327
Tb2 0.163 0.837 0.000
Tb3 0.837 0.163 0.000
Tb4 0.837 0.837 0.673
Pm1 0.168 0.500 0.668
Pm2 0.500 0.168 0.668
Pm3 0.500 0.832 0.332
Pm4 0.832 0.500 0.332
Cd1 0.500 0.500 0.000
```

Magnetic moment ... 0.000 μB per formula unit
Calculated formation energy ... -0.12 eV per formula unit

=====

[8]
First-principles (GGA-PBE) data for a relaxed structure of CoRh2W, as listed in Alexandria.

```
data_CoRh2W
_cell_length_a 4.289
_cell_length_b 4.289
_cell_length_c 4.289
_cell_angle_alpha 60.00
_cell_angle_beta 60.00
_cell_angle_gamma 60.00
_space_group_name_H-M_alt 'P 1'
_space_group_IT_number 1
loop_
_space_group_symop_operation_xyz
'x,y,z'
loop_
_atom_site_label
_atom_site_fract_x
_atom_site_fract_y
_atom_site_fract_z
Co1 0.000 0.000 0.000
Rh1 0.250 0.250 0.250
Rh2 0.500 0.500 0.500
W1 0.750 0.750 0.750
```

Magnetic moment ... 0.570 μB per formula unit
Energy relative to the lowest polymorph listed for this composition ... 326.5 meV/atom
Calculated formation energy ... 0.74 eV per formula unit

=====

[9]
First-principles (GGA-PBE) data for a relaxed structure of CdIn4Au5, as listed in Alexandria.

```
data_CdIn4Au5
_cell_length_a 5.667
_cell_length_b 6.232
_cell_length_c 6.998
_cell_angle_alpha 65.27
_cell_angle_beta 81.97
_cell_angle_gamma 89.86
_space_group_name_H-M_alt 'P 1'
_space_group_IT_number 1
loop_
_space_group_symop_operation_xyz
'x,y,z'
loop_
_atom_site_label
_atom_site_fract_x
_atom_site_fract_y
_atom_site_fract_z
Cd1 0.000 0.000 0.000
In1 0.225 0.805 0.403
In2 0.423 0.451 0.805
In3 0.618 0.445 0.202
In4 0.807 0.070 0.601
Au1 0.116 0.350 0.200
Au2 0.310 0.145 0.592
Au3 0.502 0.939 0.998
Au4 0.722 0.740 0.411
Au5 0.922 0.538 0.808
```

Magnetic moment ... 0.000 μB per formula unit
Calculated formation energy ... -1.39 eV per formula unit

=====

What is the magnetic moment in the first record? 0.000 μB per formula unit

=====

Copy entry 9 word for word.
First-principles (GGA-PBE) data for a relaxed structure of CdIn4Au5, as listed in Alexandria.

```
data_CdIn4Au5
_cell_length_a 5.667
_cell_length_b 6.232
_cell_length_c 6.998
_cell_angle_alpha 65.27
_cell_angle_beta 81.97
_cell_angle_gamma 89.86
_space_group_name_H-M_alt 'P 1'
_space_group_IT_number 1
loop_
_space_group_symop_operation_xyz
'x,y,z'
loop_
_atom_site_label
_atom_site_fract_x
_atom_site_fract_y
_atom_site_fract_z
Cd1 0.000 0.000 0.000
In1 0.225 0.805 0.403
In2 0.423 0.451 0.805
In3 0.618 0.445 0.202
In4 0.807 0.070 0.601
Au1 0.116 0.350 0.200
Au2 0.310 0.145 0.592
Au3 0.502 0.939 0.998
Au4 0.722 0.740 0.411
Au5 0.922 0.538 0.808
```

Magnetic moment ... 0.000 μB per formula unit
Calculated formation energy ... -1.39 eV per formula unit